Here is crystalline Tm12Ga3O5 at its relaxed geometry from Alexandria. Energies are from PBE.

**Formation energy without anion corrections**: -1608.3 meV per atom

Structure (CIF):
```
data_Tm12Ga3O5
_chemical_formula_sum 'Tm96 Ga24 O40'
_symmetry_space_group_name_H-M 'I a -3 d'
_symmetry_Int_Tables_number 230
_symmetry_space_group_name_Hall '-I 4bd 2c 3'
_cell_length_a 15.034
_cell_length_b 15.034
_cell_length_c 15.034
_cell_angle_alpha 90.00
_cell_angle_beta 90.00
_cell_angle_gamma 90.00
loop_
_atom_site_label
_atom_site_type_symbol
_atom_site_fract_x
_atom_site_fract_y
_atom_site_fract_z
_atom_site_occupancy
Tm1 Tm 0.037 0.053 0.650 1
Ga1 Ga 0.000 0.250 0.125 1
O1 O 0.000 0.000 0.000 1
O2 O 0.000 0.250 0.375 1
```

=====

Here is crystalline TmGa2O4 at its relaxed geometry from Alexandria. Energies are from PBE.

**Formation energy without anion corrections**: -2079.7 meV per atom

Structure (CIF):
```
data_TmGa2O4
_chemical_formula_sum 'Tm1 Ga2 O4'
_symmetry_space_group_name_H-M 'P -4 2 m'
_symmetry_Int_Tables_number 111
_symmetry_space_group_name_Hall 'P -4 2'
_cell_length_a 4.525
_cell_length_b 4.525
_cell_length_c 5.242
_cell_angle_alpha 90.00
_cell_angle_beta 90.00
_cell_angle_gamma 90.00
loop_
_atom_site_label
_atom_site_type_symbol
_atom_site_fract_x
_atom_site_fract_y
_atom_site_fract_z
_atom_site_occupancy
Tm1 Tm 0.000 0.000 0.000 1
Ga1 Ga 0.000 0.500 0.500 1
O1 O 0.240 0.240 0.289 1
```

=====

Here is crystalline TmUGa2O8 at its relaxed geometry from Alexandria. Energies are from PBE.

**Formation energy without anion corrections**: -2397.9 meV per atom

Structure (CIF):
```
data_TmUGa2O8
_chemical_formula_sum 'Tm2 U2 Ga4 O16'
_symmetry_space_group_name_H-M 'I -4 m 2'
_symmetry_Int_Tables_number 119
_symmetry_space_group_name_Hall 'I -4 -2'
_cell_length_a 6.873
_cell_length_b 6.873
_cell_length_c 6.688
_cell_angle_alpha 90.00
_cell_angle_beta 90.00
_cell_angle_gamma 90.00
loop_
_atom_site_label
_atom_site_type_symbol
_atom_site_fract_x
_atom_site_fract_y
_atom_site_fract_z
_atom_site_occupancy
Tm1 Tm 0.000 0.000 0.000 1
U1 U 0.000 0.500 0.750 1
Ga1 Ga 0.000 0.000 0.500 1
Ga2 Ga 0.000 0.500 0.250 1
O1 O 0.000 0.196 0.691 1
O2 O 0.000 0.318 0.048 1
```

=====

Here is crystalline U3Ga5O12 at its relaxed geometry from Alexandria. Energies are from PBE.

**Formation energy without anion corrections**: -2143.7 meV per atom

Structure (CIF):
```
data_U3Ga5O12
_chemical_formula_sum 'U24 Ga40 O96'
_symmetry_space_group_name_H-M 'I a -3 d'
_symmetry_Int_Tables_number 230
_symmetry_space_group_name_Hall '-I 4bd 2c 3'
_cell_length_a 12.696
_cell_length_b 12.696
_cell_length_c 12.696
_cell_angle_alpha 90.00
_cell_angle_beta 90.00
_cell_angle_gamma 90.00
loop_
_atom_site_label
_atom_site_type_symbol
_atom_site_fract_x
_atom_site_fract_y
_atom_site_fract_z
_atom_site_occupancy
U1 U 0.000 0.250 0.125 1
Ga1 Ga 0.000 0.000 0.000 1
Ga2 Ga 0.000 0.250 0.375 1
O1 O 0.028 0.054 0.650 1
```

=====

Here is crystalline U2Ga2O5 at its relaxed geometry from Alexandria. Energies are from PBE.

**Formation energy without anion corrections**: -1860.2 meV per atom

Structure (CIF):
```
data_U2Ga2O5
_chemical_formula_sum 'U2 Ga2 O5'
_symmetry_space_group_name_H-M 'P 4/m m m'
_symmetry_Int_Tables_number 123
_symmetry_space_group_name_Hall '-P 4 2'
_cell_length_a 4.009
_cell_length_b 4.009
_cell_length_c 6.862
_cell_angle_alpha 90.00
_cell_angle_beta 90.00
_cell_angle_gamma 90.00
loop_
_atom_site_label
_atom_site_type_symbol
_atom_site_fract_x
_atom_site_fract_y
_atom_site_fract_z
_atom_site_occupancy
U1 U 0.000 0.000 0.000 1
U2 U 0.000 0.000 0.500 1
Ga1 Ga 0.500 0.500 0.212 1
O1 O 0.000 0.500 0.239 1
O2 O 0.500 0.500 0.500 1
```

=====

Here is crystalline YUGa2O8 at its relaxed geometry from Alexandria. Energies are from PBE.

**Formation energy without anion corrections**: -2370.6 meV per atom

Structure (CIF):
```
data_YUGa2O8
_chemical_formula_sum 'Y2 U2 Ga4 O16'
_symmetry_space_group_name_H-M 'C m m m'
_symmetry_Int_Tables_number 65
_symmetry_space_group_name_Hall '-C 2 2'
_cell_length_a 6.677
_cell_length_b 6.831
_cell_length_c 6.697
_cell_angle_alpha 90.00
_cell_angle_beta 90.00
_cell_angle_gamma 90.00
loop_
_atom_site_label
_atom_site_type_symbol
_atom_site_fract_x
_atom_site_fract_y
_atom_site_fract_z
_atom_site_occupancy
Y1 Y 0.000 0.000 0.000 1
U1 U 0.000 0.000 0.500 1
Ga1 Ga 0.000 0.500 0.251 1
O1 O 0.000 0.308 0.500 1
O2 O 0.000 0.328 0.000 1
O3 O 0.206 0.000 0.267 1
```

=====

Here is crystalline UZnGaO6 at its relaxed geometry from Alexandria. Energies are from PBE.

**Formation energy without anion corrections**: -1956.6 meV per atom

Structure (CIF):
```
data_UZnGaO6
_chemical_formula_sum 'U2 Zn2 Ga2 O12'
_symmetry_space_group_name_H-M 'P -3 1 c'
_symmetry_Int_Tables_number 163
_symmetry_space_group_name_Hall '-P 3 2c'
_cell_length_a 5.2772
_cell_length_b 5.2772
_cell_length_c 9.0362
_cell_angle_alpha 90.00
_cell_angle_beta 90.00
_cell_angle_gamma 120.00
loop_
_atom_site_label
_atom_site_type_symbol
_atom_site_fract_x
_atom_site_fract_y
_atom_site_fract_z
_atom_site_occupancy
U1 U 0.3333 0.6667 0.2500 1
Zn1 Zn 0.0000 0.0000 0.0000 1
Ga1 Ga 0.3333 0.6667 0.7500 1
O1 O 0.0093 0.3456 0.6306 1
```

=====

Quick rundown of total energy, same order as above: -5.98 -6.42 -7.52 -7.57 -7.80 -7.66 -6.99 eV/atom